Run one
4
Lattice="-2.312 2.327 3.267 2.312 -2.327 3.267 2.312 2.327 -3.267" Properties=species:S:1:pos:R:3 comment="TlFe2Te SCAN PBEsol geometry" m_tot_mub_per_cell=5.39 pbc="T T T"
Tl 0.000 0.000 0.000
Fe 2.312 0.000 1.391
Fe 0.000 2.327 1.877
Te 0.000 0.000 3.267



Run two
4
Lattice="1.598 0.922 7.857 -1.598 0.922 7.857 0.000 -1.845 7.857" Properties=species:S:1:pos:R:3 comment="TlFe2Te SCAN PBEsol geometry" m_tot_mub_per_cell=5.38 pbc="T T T"
Tl 0.000 0.000 0.000
Fe 0.000 0.000 5.791
Fe 0.000 0.000 17.778
Te 0.000 0.000 11.785



Question: which arrangement is favored energetically? Ranking from most to least stable: run two, run one.



Run one
4
Lattice="4.224 0.000 0.000 0.000 4.224 0.000 0.000 0.000 5.468" Properties=species:S:1:pos:R:3 comment="Tl2FeTe SCAN PBEsol geometry" m_tot_mub_per_cell=3.06 pbc="T T T"
Tl 0.000 2.112 0.000
Tl 2.112 0.000 0.000
Fe 0.000 0.000 2.734
Te 2.112 2.112 2.734



Run two
4
Lattice="0.000 3.634 3.634 3.634 0.000 3.634 3.634 3.634 0.000" Properties=species:S:1:pos:R:3 comment="Tl2FeTe SCAN PBEsol geometry" m_tot_mub_per_cell=2.93 pbc="T T T"
Tl 0.000 0.000 0.000
Tl 1.817 1.817 1.817
Fe 3.634 3.634 3.634
Te 5.451 5.451 5.451



Run three
4
Lattice="-1.611 2.091 7.297 1.611 -2.091 7.297 1.611 2.091 -7.297" Properties=species:S:1:pos:R:3 comment="Tl2FeTe SCAN PBEsol geometry" m_tot_mub_per_cell=2.70 pbc="T T T"
Tl 0.000 0.000 2.598
Tl 0.000 0.000 11.996
Fe 1.611 0.000 0.000
Te 0.000 2.091 0.000



Question: which arrangement is favored energetically? Ranking from most to least stable: run three, run one, run two.



Run one
4
Lattice="1.536 0.887 7.949 -1.536 0.887 7.949 0.000 -1.774 7.949" Properties=species:S:1:pos:R:3 comment="ZnFe2Te SCAN PBEsol geometry" m_tot_mub_per_cell=5.00 pbc="T T T"
Zn 0.000 0.000 0.000
Fe 0.000 0.000 11.345
Fe 0.000 0.000 17.725
Te 0.000 0.000 5.293



Run two
4
Lattice="-1.731 1.998 4.155 1.731 -1.998 4.155 1.731 1.998 -4.155" Properties=species:S:1:pos:R:3 comment="ZnFe2Te SCAN PBEsol geometry" m_tot_mub_per_cell=4.98 pbc="T T T"
Zn 0.000 0.000 0.000
Fe 1.731 0.000 2.203
Fe 0.000 0.000 4.011
Te 0.000 1.998 1.943



Run three
4
Lattice="0.000 3.091 3.091 3.091 0.000 3.091 3.091 3.091 0.000" Properties=species:S:1:pos:R:3 comment="ZnFe2Te SCAN PBEsol geometry" m_tot_mub_per_cell=4.82 pbc="T T T"
Zn 0.000 0.000 0.000
Fe 1.546 1.546 1.546
Fe 3.091 3.091 3.091
Te 4.637 4.637 4.637



Question: which arrangement is favored energetically? Ranking from most to least stable: run two, run one, run three.